Record 1
# Sm2HoTm4 | Alexandria | PBE | relaxed
data_Sm2HoTm4
_chemical_formula_sum 'Sm4 Ho2 Tm8'
_symmetry_space_group_name_H-M 'P 1'
_symmetry_Int_Tables_number 1
_cell_length_a 5.989
_cell_length_b 8.412
_cell_length_c 9.793
_cell_angle_alpha 85.21
_cell_angle_beta 72.71
_cell_angle_gamma 69.39
loop_
_symmetry_equiv_pos_as_xyz
'x,y,z'
loop_
_atom_site_label
_atom_site_type_symbol
_atom_site_fract_x
_atom_site_fract_y
_atom_site_fract_z
Sm1 Sm 0.000 0.000 0.000
Sm2 Sm 0.012 0.928 0.360
Sm3 Sm 0.709 0.859 0.720
Sm4 Sm 0.817 0.429 0.860
Ho1 Ho 0.112 0.496 0.499
Ho2 Ho 0.829 0.360 0.222
Tm1 Tm 0.186 0.075 0.636
Tm2 Tm 0.228 0.572 0.137
Tm3 Tm 0.258 0.641 0.783
Tm4 Tm 0.393 0.216 0.938
Tm5 Tm 0.434 0.144 0.283
Tm6 Tm 0.565 0.712 0.439
Tm7 Tm 0.615 0.782 0.085
Tm8 Tm 0.639 0.285 0.582
# total moment: 0.00 μB per cell
# energy: -62.68 eV for the cell shown

***

Record 2
# Mg2TlNi | Alexandria | PBE | relaxed
data_Mg2TlNi
_chemical_formula_sum 'Mg2 Tl1 Ni1'
_symmetry_space_group_name_H-M 'P 1'
_symmetry_Int_Tables_number 1
_cell_length_a 3.341
_cell_length_b 3.557
_cell_length_c 6.388
_cell_angle_alpha 90.00
_cell_angle_beta 90.00
_cell_angle_gamma 90.00
loop_
_symmetry_equiv_pos_as_xyz
'x,y,z'
loop_
_atom_site_label
_atom_site_type_symbol
_atom_site_fract_x
_atom_site_fract_y
_atom_site_fract_z
Mg1 Mg 0.000 0.000 0.000
Mg2 Mg 0.500 0.500 0.277
Tl1 Tl 0.500 0.500 0.714
Ni1 Ni 0.000 0.000 0.458
# total moment: 0.00 μB per cell
# energy: -11.19 eV for the cell shown

***

Record 3
# Ta6V3Co3C2 | Alexandria | PBE | relaxed
data_Ta6V3Co3C2
_chemical_formula_sum 'Ta12 V6 Co6 C4'
_symmetry_space_group_name_H-M 'P 1'
_symmetry_Int_Tables_number 1
_cell_length_a 8.145
_cell_length_b 8.145
_cell_length_c 8.145
_cell_angle_alpha 120.11
_cell_angle_beta 119.90
_cell_angle_gamma 89.99
loop_
_symmetry_equiv_pos_as_xyz
'x,y,z'
loop_
_atom_site_label
_atom_site_type_symbol
_atom_site_fract_x
_atom_site_fract_y
_atom_site_fract_z
Ta1 Ta 0.000 0.000 0.000
Ta2 Ta 0.132 0.250 0.501
Ta3 Ta 0.132 0.630 0.882
Ta4 Ta 0.135 0.635 0.500
Ta5 Ta 0.381 0.381 0.384
Ta6 Ta 0.381 0.997 0.000
Ta7 Ta 0.384 0.384 0.000
Ta8 Ta 0.749 0.250 0.118
Ta9 Ta 0.749 0.630 0.499
Ta10 Ta 0.750 0.250 0.500
Ta11 Ta 0.997 0.381 0.000
Ta12 Ta 0.997 0.997 0.616
V1 V 0.068 0.820 0.248
V2 V 0.449 0.611 0.839
V3 V 0.564 0.306 0.742
V4 V 0.564 0.823 0.258
V5 V 0.572 0.820 0.752
V6 V 0.772 0.611 0.161
Co1 Co 0.359 0.017 0.659
Co2 Co 0.359 0.700 0.341
Co3 Co 0.361 0.015 0.345
Co4 Co 0.670 0.015 0.655
Co5 Co 0.771 0.612 0.841
Co6 Co 0.771 0.930 0.159
C1 C 0.063 0.314 0.749
C2 C 0.064 0.314 0.250
C3 C 0.064 0.814 0.750
C4 C 0.565 0.314 0.251
# total moment: 0.01 μB per cell
# energy: -287.52 eV for the cell shown

***

Record 4
# TbDyIr | Alexandria | PBE | relaxed
data_TbDyIr
_chemical_formula_sum 'Tb1 Dy1 Ir1'
_symmetry_space_group_name_H-M 'P 1'
_symmetry_Int_Tables_number 1
_cell_length_a 4.814
_cell_length_b 4.814
_cell_length_c 4.814
_cell_angle_alpha 60.00
_cell_angle_beta 60.00
_cell_angle_gamma 60.00
loop_
_symmetry_equiv_pos_as_xyz
'x,y,z'
loop_
_atom_site_label
_atom_site_type_symbol
_atom_site_fract_x
_atom_site_fract_y
_atom_site_fract_z
Tb1 Tb 0.000 0.000 0.000
Dy1 Dy 0.500 0.500 0.500
Ir1 Ir 0.250 0.250 0.250
# total moment: 0.00 μB per cell
# energy: -20.16 eV for the cell shown

***

Record 5
# Li2Pr2Sb2S | Alexandria | PBE | relaxed
data_Li2Pr2Sb2S
_chemical_formula_sum 'Li2 Pr2 Sb2 S1'
_symmetry_space_group_name_H-M 'P 1'
_symmetry_Int_Tables_number 1
_cell_length_a 9.254
_cell_length_b 9.254
_cell_length_c 9.254
_cell_angle_alpha 151.13
_cell_angle_beta 151.13
_cell_angle_gamma 41.29
loop_
_symmetry_equiv_pos_as_xyz
'x,y,z'
loop_
_atom_site_label
_atom_site_type_symbol
_atom_site_fract_x
_atom_site_fract_y
_atom_site_fract_z
Li1 Li 0.000 0.500 0.500
Li2 Li 0.500 0.000 0.500
Pr1 Pr 0.164 0.164 0.000
Pr2 Pr 0.836 0.836 0.000
Sb1 Sb 0.353 0.353 0.000
Sb2 Sb 0.647 0.647 0.000
S1 S 0.000 0.000 0.000
# total moment: 0.00 μB per cell
# energy: -34.01 eV for the cell shown

***

What is the formula in the second record?
Mg2TlNi